VASP calculation (GGA-PBEsol) on crystalline GaRe3Pt at its relaxed geometry.

a b c (Å): 4.4100 4.4100 4.4100
angles (deg): 90.00 90.00 90.00
Closest atoms and distances in Å follow each position.
Space group Pm-3m (No. 221)
Symmetry-distinct sites (fractional):
Ga1 0.0000 0.0000 0.0000 [1 per cell]  6 Re 2.20
Re1 0.0000 0.0000 0.5000 [3 per cell]  2 Ga 2.20
Pt1 0.5000 0.5000 0.5000 [1 per cell]  12 Re 3.12

Calculated values
DFT formation energy = 2.00 eV/atom

VASP calculation (GGA-PBEsol) on crystalline KLa4Pb at its relaxed geometry.

a b c (Å): 9.4105 9.4105 9.4105
angles (deg): 90.00 90.00 90.00
Closest atoms and distances in Å follow each position.
Space group F-43m (No. 216)
Symmetry-distinct sites (fractional):
K1 0.0000 0.0000 0.0000 [4 per cell]  12 La 3.92, 4 Pb 4.07
La1 0.1198 0.1198 0.3802 [16 per cell]  6 La 3.19-3.47
Pb1 0.2500 0.2500 0.7500 [4 per cell]  12 La 3.89, 4 K 4.07

Calculated values
DFT formation energy = 0.22 eV/atom

VASP calculation (GGA-PBEsol) on crystalline Ca3IN at its relaxed geometry.

a b c (Å): 4.9326 4.9326 4.9326
angles (deg): 90.00 90.00 90.00
Closest atoms and distances in Å follow each position.
Space group Pm-3m (No. 221)
Symmetry-distinct sites (fractional):
Ca1 0.0000 0.0000 0.5000 [3 per cell]  2 N 2.47
I1 0.5000 0.5000 0.5000 [1 per cell]  12 Ca 3.49
N1 0.0000 0.0000 0.0000 [1 per cell]  6 Ca 2.47

Calculated values
Energy above the most stable polymorph in this dataset = 0.0 meV per atom
Uncorrected formation energy = -0.754 eV/atom

VASP calculation (GGA-PBEsol) on crystalline TeRhW2 at its relaxed geometry.

a b c (Å): 3.1081 3.1081 24.8945
angles (deg): 90.00 90.00 120.00
Closest atoms and distances in Å follow each position.
Space group R3m (No. 160, hexagonal axes)
Symmetry-distinct sites (fractional):
Te1 0.0000 0.0000 0.0000 [3 per cell]  3 Rh 2.86, 3 W 2.87, 6 Te 3.11
Rh1 0.0000 0.0000 0.2438 [3 per cell]  3 W 2.65, 3 Te 2.86
W1 0.0000 0.0000 0.4988 [3 per cell]  3 W 2.60, 3 Rh 2.65
W2 0.0000 0.0000 0.7567 [3 per cell]  3 W 2.60, 3 Te 2.87

Calculated values
Uncorrected formation energy = 0.412 eV/atom

VASP calculation (GGA-PBEsol) on crystalline LaZn4Si at its relaxed geometry.

a b c (Å): 7.5678 7.5678 7.5678
angles (deg): 90.00 90.00 90.00
Closest atoms and distances in Å follow each position.
Space group F-43m (No. 216)
Symmetry-distinct sites (fractional):
La1 0.0000 0.0000 0.0000 [4 per cell]  12 Zn 3.14, 4 Si 3.28
Zn1 0.1242 0.1242 0.3758 [16 per cell]  6 Zn 2.66-2.69
Si1 0.2500 0.2500 0.7500 [4 per cell]  12 Zn 3.14, 4 La 3.28

Calculated values
Uncorrected formation energy = -0.028 eV/atom

VASP calculation (GGA-PBEsol) on crystalline CaPO3 at its relaxed geometry.

a b c (Å): 3.6950 3.6950 3.6950
angles (deg): 90.00 90.00 90.00
Closest atoms and distances in Å follow each position.
Space group Pm-3m (No. 221)
Symmetry-distinct sites (fractional):
Ca1 0.0000 0.0000 0.0000 [1 per cell]  12 O 2.61
P1 0.5000 0.5000 0.5000 [1 per cell]  6 O 1.85
O1 0.0000 0.5000 0.5000 [3 per cell]  2 P 1.85

Calculated values
Uncorrected formation energy = -2.047 eV/atom

VASP calculation (GGA-PBEsol) on crystalline PIrSe3 at its relaxed geometry.

a b c (Å): 4.5991 4.5991 4.5991
angles (deg): 90.00 90.00 90.00
Closest atoms and distances in Å follow each position.
Space group Pm-3m (No. 221)
Symmetry-distinct sites (fractional):
P1 0.0000 0.0000 0.0000 [1 per cell]  6 Se 2.30
Ir1 0.5000 0.5000 0.5000 [1 per cell]  12 Se 3.25
Se1 0.0000 0.0000 0.5000 [3 per cell]  2 P 2.30

Calculated values
Uncorrected formation energy = 1.166 eV/atom

VASP calculation (GGA-PBEsol) on crystalline Na3AlF6 at its relaxed geometry.

a b c (Å): 5.3939 5.6103 9.4078
angles (deg): 90.00 124.59 90.00
Closest atoms and distances in Å follow each position.
Space group P2_1/c (No. 14)
Symmetry-distinct sites (fractional):
Na1 0.0000 0.0000 0.0000 [2 per cell]  6 F 2.22-2.29
Na2 0.2283 0.0558 0.7452 [4 per cell]  5 F 2.28-2.51
Al1 0.5000 0.0000 0.5000 [2 per cell]  6 F 1.81-1.83
F1 0.1785 0.1757 0.4520 [4 per cell]  1 Al 1.81
F2 0.2671 0.7318 0.4320 [4 per cell]  1 Al 1.83
F3 0.3902 0.0495 0.2802 [4 per cell]  1 Al 1.82

Calculated values
Energy above the most stable polymorph in this dataset = 0.0 meV per atom
Uncorrected formation energy = -3.151 eV/atom

VASP calculation (GGA-PBEsol) on crystalline Al2ReC2 at its relaxed geometry.

a b c (Å): 6.2360 6.2360 2.7777
angles (deg): 90.00 90.00 90.00
Closest atoms and distances in Å follow each position.
Space group P4/mbm (No. 127)
Symmetry-distinct sites (fractional):
Al1 0.1365 0.3635 0.0000 [4 per cell]  2 C 2.14
Re1 0.0000 0.0000 0.0000 [2 per cell]  4 Al 2.42, 8 C 2.68
C1 0.1789 0.6789 0.5000 [4 per cell]  2 Al 2.14

Calculated values
DFT formation energy = 1.40 eV/atom

VASP calculation (GGA-PBEsol) on crystalline TePb2Au2 at its relaxed geometry.

a b c (Å): 3.9017 3.9017 16.6442
angles (deg): 90.00 90.00 90.00
Closest atoms and distances in Å follow each position.
Space group I4/mmm (No. 139)
Symmetry-distinct sites (fractional):
Te1 0.0000 0.0000 0.0000 [2 per cell]  8 Pb 3.30
Pb1 0.0000 0.0000 0.3914 [4 per cell]  4 Au 3.06, 4 Te 3.30
Au1 0.0000 0.5000 0.2500 [4 per cell]  4 Au 2.76, 4 Pb 3.06

Calculated values
Energy above the most stable polymorph in this dataset = 15.1 meV per atom
Uncorrected formation energy = -0.061 eV/atom

VASP calculation (GGA-PBEsol) on crystalline WCl6 at its relaxed geometry.

a b c (Å): 10.6308 10.6308 5.6404
angles (deg): 90.00 90.00 120.00
Closest atoms and distances in Å follow each position.
Space group P-3m1 (No. 164)
Symmetry-distinct sites (fractional):
W1 0.0000 0.0000 0.0000 [1 per cell]  6 Cl 2.29
W2 0.3333 0.6667 0.5095 [2 per cell]  6 Cl 2.29
Cl1 0.1013 0.2026 0.7654 [6 per cell]  1 W 2.29
Cl2 0.1306 0.5653 0.7439 [6 per cell]  1 W 2.29
Cl3 0.2320 0.4640 0.2749 [6 per cell]  1 W 2.29

Calculated values
Uncorrected formation energy = -0.836 eV/atom

VASP calculation (GGA-PBEsol) on crystalline YMo at its relaxed geometry.

a b c (Å): 2.9110 2.9110 4.7892
angles (deg): 90.00 90.00 90.00
Closest atoms and distances in Å follow each position.
Space group P4/mmm (No. 123)
Symmetry-distinct sites (fractional):
Y1 0.0000 0.0000 0.0000 [1 per cell]  4 Y 2.91, 8 Mo 3.16
Mo1 0.5000 0.5000 0.5000 [1 per cell]  4 Mo 2.91, 8 Y 3.16

Calculated values
Energy above the most stable polymorph in this dataset = 498.4 meV per atom
DFT formation energy = 0.65 eV/atom